Computed, not measured: a relaxed structure of Tl2Ge2PbO6 at the PBE-GGA level of DFT.

a = 6.2315 Å, b = 6.2315 Å, c = 7.5006 Å
α = 65.46°, β = 65.46°, γ = 60.00°
Element x y z (fractional)
Tl 0.8039 0.8039 0.5884
Tl 0.1961 0.1961 0.4116
Ge 0.4167 0.4167 0.7500
Ge 0.5833 0.5833 0.2500
Pb 0.0000 0.0000 0.0000
O 0.7404 0.7404 0.2556
O 0.2635 0.7404 0.2556
O 0.7404 0.2635 0.2556
O 0.2596 0.7365 0.7444
O 0.7365 0.2596 0.7444
O 0.2596 0.2596 0.7444

Output
Formation energy without anion corrections   -1.109 eV/atom
D(E_F)   0.0 states/eV per cell